TlRe3Ag (SCAN, PBEsol geometry); total energy = -298.656 eV/cell; volume = 22.793 Å³ per atom
1.0
4.848 0.000 0.000
0.000 4.848 0.000
0.000 0.000 4.848
Re Tl Ag
3 1 1
direct
0.000 0.500 0.000 Re
0.000 0.000 0.500 Re
0.500 0.000 0.000 Re
0.000 0.000 0.000 Tl
0.500 0.500 0.500 Ag